# 1
An optimized crystal structure of Cr3CuP, computed with PBE.

Output
The formation enthalpy at 0 K comes out at 0.66 eV per atom. As for the energy: -7.02 eV per atom.

a = 4.287 Å, b = 4.287 Å, c = 4.287 Å
α = 90.00°, β = 90.00°, γ = 90.00°
Space group Pm-3m (No. 221)
Symmetry-distinct sites (fractional):
Cr (0.000, 0.000, 0.500)
Cu (0.500, 0.500, 0.500)
P (0.000, 0.000, 0.000)



# 2
An optimized crystal structure of B3AuI, computed with PBE.

Output
As for the uncorrected formation energy: 253.3 kJ per mole of atoms. As for the energy above the lowest structure with this stoichiometry: 964 meV/atom. As for the energy: -2.35 eV per atom.

a = 4.415 Å, b = 4.415 Å, c = 4.415 Å
α = 90.00°, β = 90.00°, γ = 90.00°
Space group Pm-3m (No. 221)
Symmetry-distinct sites (fractional):
B (0.000, 0.000, 0.500)
Au (0.500, 0.500, 0.500)
I (0.000, 0.000, 0.000)



# 3
An optimized crystal structure of Li2Ac4Co, computed with PBE.

Output
The formation enthalpy at 0 K comes out at 0.08 eV per atom. As for the energy above the lowest structure with this stoichiometry: 0 meV/atom. As for the energy: -3.83 eV per atom.

a = 19.138 Å, b = 4.057 Å, c = 6.929 Å
α = 90.00°, β = 110.11°, γ = 90.00°
Space group C2/m (No. 12)
Symmetry-distinct sites (fractional):
Li (0.245, 0.000, 0.319)
Ac (0.084, 0.500, 0.246)
Ac (0.100, 0.000, 0.753)
Co (0.000, 0.500, 0.500)